The following is a PBE-GGA calculation of a geometry-optimized Sb2MoIr4 structure, from Alexandria.

Cell: 4.832 4.832 7.426 Å, 71.01 71.01 90.00°
Atoms (fractional coordinates):
Sb 0.621 0.621 0.757
Sb 0.379 0.379 0.243
Mo 0.000 0.000 0.000
Ir 0.818 0.818 0.365
Ir 0.182 0.182 0.635
Ir 0.000 0.500 0.000
Ir 0.500 0.000 0.000

## Properties
For the volume, the calculation gives 154.0 Å³ per cell. The value obtained for the total energy is -6.6452 eV per atom. As for the uncorrected formation energy: 1.143 eV/atom. Its symmetry is I4/mmm (139).

***

The following is a PBE-GGA calculation of a geometry-optimized La2ScCl structure, from Alexandria.

Cell: 5.476 5.476 5.476 Å, 60.00 60.00 60.00°
Last column: magnetic moment on the atom in μB.
Atoms (fractional coordinates):
Cl 0.500 0.500 0.500  0.01
La 0.000 0.000 0.000  0.28
La 0.250 0.250 0.250  0.12
Sc 0.750 0.750 0.750  0.25

## Properties
For the volume, the calculation gives 116.1 Å³ per cell. The value obtained for the total energy is -4.4622 eV per atom. As for the uncorrected formation energy: 0.046 eV/atom. The calculation puts the excess energy over the best structure of this formula in the dataset at 0.677 eV/atom. Its symmetry is F-43m (216).

***

Q: The lowest uncorrected formation energy belongs to which entry?
A: La2ScCl

***

Q: Which value of volume does entry 1 give?
A: 154.0 Å³ per cell

***

Q: Which of these has the highest uncorrected formation energy?
A: Sb2MoIr4

***

Q: Look up the volume of the first one.
A: 154.0 Å³ per cell